PBE+U Ga2Co2O, optimized geometry; ΔE to the lowest computed polymorph = 0.000 eV per atom; E = -4.25 eV per atom; DOS at the Fermi energy = 0.395 states/eV per atom
1.0
-3.416 3.998 1.932
-3.823 -1.408 -3.845
-1.673 -2.714 2.657
O Co Ga
2 4 4
Direct
0.500 0.500 0.000
0.000 0.000 0.000
0.663 0.163 0.000
0.163 0.337 0.000
0.837 0.663 0.000
0.337 0.837 0.000
0.661 0.839 0.500
0.839 0.339 0.500
0.161 0.661 0.500
0.339 0.161 0.500